No. 1
Ge2BiPtBr | meta-GGA SCAN | PBEsol geometry

CIF file:
```
data_Ge2BiPtBr
_chemical_formula_sum 'Ge2 Bi1 Pt1 Br1'
_cell_length_a 5.433
_cell_length_b 5.433
_cell_length_c 5.288
_cell_angle_alpha 90.00
_cell_angle_beta 90.00
_cell_angle_gamma 90.00
_symmetry_space_group_name_H-M 'P 1'
_symmetry_Int_Tables_number 1
loop_
_symmetry_equiv_pos_as_xyz
'x,y,z'
loop_
_atom_site_label
_atom_site_fract_x
_atom_site_fract_y
_atom_site_fract_z
Ge1 0.000 0.500 0.000
Ge2 0.500 0.000 0.000
Bi1 0.000 0.000 0.000
Pt1 0.500 0.500 0.500
Br1 0.000 0.000 0.500
```

Results
magnetic moment = 0.000 μB/f.u.
total energy = -39.837 eV/atom
SG = No. 123
calculated volume = 31.22 A^3/atom
E_form (uncorrected) = 1.44 eV/atom

***

No. 2
GeBiRhBr2 | meta-GGA SCAN | PBEsol geometry

CIF file:
```
data_GeBiRhBr2
_chemical_formula_sum 'Ge1 Bi1 Rh1 Br2'
_cell_length_a 5.456
_cell_length_b 5.456
_cell_length_c 5.732
_cell_angle_alpha 90.00
_cell_angle_beta 90.00
_cell_angle_gamma 90.00
_symmetry_space_group_name_H-M 'P 1'
_symmetry_Int_Tables_number 1
loop_
_symmetry_equiv_pos_as_xyz
'x,y,z'
loop_
_atom_site_label
_atom_site_fract_x
_atom_site_fract_y
_atom_site_fract_z
Ge1 0.000 0.000 0.000
Bi1 0.000 0.000 0.500
Rh1 0.500 0.500 0.000
Br1 0.000 0.500 0.500
Br2 0.500 0.000 0.500
```

Results
magnetic moment = 1.685 μB/f.u.
total energy = -33.052 eV/atom
SG = No. 123
calculated volume = 34.12 A^3/atom
E_form (uncorrected) = 1.02 eV/atom

***

No. 3
BiH2Br | meta-GGA SCAN | PBEsol geometry

CIF file:
```
data_BiH2Br
_chemical_formula_sum 'Bi2 H4 Br2'
_cell_length_a 7.261
_cell_length_b 7.261
_cell_length_c 7.261
_cell_angle_alpha 142.06
_cell_angle_beta 142.06
_cell_angle_gamma 54.74
_symmetry_space_group_name_H-M 'P 1'
_symmetry_Int_Tables_number 1
loop_
_symmetry_equiv_pos_as_xyz
'x,y,z'
loop_
_atom_site_label
_atom_site_fract_x
_atom_site_fract_y
_atom_site_fract_z
Bi1 0.375 0.625 0.750
Bi2 0.625 0.375 0.250
H1 0.000 0.500 0.500
H2 0.500 0.000 0.000
H3 0.500 0.500 0.000
H4 0.500 0.500 0.500
Br1 0.125 0.875 0.250
Br2 0.875 0.125 0.750
```

Results
magnetic moment = 0.000 μB/f.u.
total energy = -25.994 eV/atom
SG = No. 141
calculated volume = 17.96 A^3/atom

***

No. 4
Bi3HBr | meta-GGA SCAN | PBEsol geometry

CIF file:
```
data_Bi3HBr
_chemical_formula_sum 'Bi3 H1 Br1'
_cell_length_a 5.695
_cell_length_b 5.695
_cell_length_c 5.695
_cell_angle_alpha 90.00
_cell_angle_beta 90.00
_cell_angle_gamma 90.00
_symmetry_space_group_name_H-M 'P 1'
_symmetry_Int_Tables_number 1
loop_
_symmetry_equiv_pos_as_xyz
'x,y,z'
loop_
_atom_site_label
_atom_site_fract_x
_atom_site_fract_y
_atom_site_fract_z
Bi1 0.000 0.000 0.500
Bi2 0.000 0.500 0.000
Bi3 0.500 0.000 0.000
H1 0.500 0.500 0.500
Br1 0.000 0.000 0.000
```

Results
magnetic moment = 0.784 μB/f.u.
total energy = -50.330 eV/atom
SG = No. 221
calculated volume = 36.95 A^3/atom